i.
Computed, not measured: crystalline NdEr3Tl4 at its relaxed geometry at the GGA-PBE level of DFT.

The structure in CIF format:
```
data_NdEr3Tl4
_space_group_name_H-M_alt 'P 4/m m m'
_space_group_IT_number 123
_space_group_name_Hall '-P 4 2'
_cell_length_a 5.4003
_cell_length_b 5.4003
_cell_length_c 7.5563
_cell_angle_alpha 90.00
_cell_angle_beta 90.00
_cell_angle_gamma 90.00
loop_
_atom_site_label
_atom_site_type_symbol
_atom_site_fract_x
_atom_site_fract_y
_atom_site_fract_z
Nd1 Nd 0.0000 0.0000 0.0000
Er1 Er 0.0000 0.0000 0.5000
Er2 Er 0.5000 0.5000 0.0000
Er3 Er 0.5000 0.5000 0.5000
Tl1 Tl 0.0000 0.5000 0.2574
```

## Properties
V: 27.55 A^3/atom

***

ii.
Computed, not measured: crystalline NdEr3Tl4 at its relaxed geometry at the GGA-PBE level of DFT.

The structure in CIF format:
```
data_NdEr3Tl4
_space_group_name_H-M_alt 'I m m m'
_space_group_IT_number 71
_space_group_name_Hall '-I 2 2'
_cell_length_a 3.4979
_cell_length_b 7.2440
_cell_length_c 18.5700
_cell_angle_alpha 90.00
_cell_angle_beta 90.00
_cell_angle_gamma 90.00
loop_
_atom_site_label
_atom_site_type_symbol
_atom_site_fract_x
_atom_site_fract_y
_atom_site_fract_z
Nd1 Nd 0.0000 0.0000 0.0000
Er1 Er 0.0000 0.0000 0.5000
Er2 Er 0.0000 0.5000 0.2806
Tl1 Tl 0.0000 0.2868 0.1291
```

## Properties
V: 29.41 A^3/atom

***

Which structure is the least stable? The one labeled ii.

***

i.
Computed, not measured: crystalline Nd4ErTl2 at its relaxed geometry at the GGA-PBE level of DFT.

The structure in CIF format:
```
data_Nd4ErTl2
_space_group_name_H-M_alt 'P 1'
_space_group_IT_number 1
_cell_length_a 6.5371
_cell_length_b 8.0238
_cell_length_c 10.0189
_cell_angle_alpha 77.34
_cell_angle_beta 71.40
_cell_angle_gamma 66.96
loop_
_space_group_symop_operation_xyz
'x,y,z'
loop_
_atom_site_label
_atom_site_type_symbol
_atom_site_fract_x
_atom_site_fract_y
_atom_site_fract_z
Nd1 Nd 0.0000 0.0000 0.0000
Nd2 Nd 0.0017 0.4427 0.1008
Nd3 Nd 0.4177 0.9536 0.2349
Nd4 Nd 0.4389 0.4995 0.1367
Nd5 Nd 0.4461 0.0028 0.6522
Nd6 Nd 0.5196 0.4872 0.5211
Nd7 Nd 0.9062 0.4300 0.7591
Nd8 Nd 0.9775 0.9306 0.6257
Er1 Er 0.1328 0.3062 0.4342
Er2 Er 0.7759 0.1316 0.3231
Tl1 Tl 0.2960 0.6469 0.8244
Tl2 Tl 0.4928 0.2179 0.8820
Tl3 Tl 0.6587 0.7886 0.9316
Tl4 Tl 0.9287 0.7191 0.3745
```

## Properties
V: 32.55 A^3/atom

***

ii.
Computed, not measured: crystalline Nd4ErTl2 at its relaxed geometry at the GGA-PBE level of DFT.

The structure in CIF format:
```
data_Nd4ErTl2
_space_group_name_H-M_alt 'C 1 2/m 1'
_space_group_IT_number 12
_cell_length_a 6.8582
_cell_length_b 10.6499
_cell_length_c 6.2853
_cell_angle_alpha 90.00
_cell_angle_beta 97.56
_cell_angle_gamma 90.00
loop_
_space_group_symop_operation_xyz
'x,y,z'
'-x,-y,-z'
'-x,y,-z'
'x,-y,z'
'x+1/2,y+1/2,z'
'-x+1/2,-y+1/2,-z'
'-x+1/2,y+1/2,-z'
'x+1/2,-y+1/2,z'
loop_
_atom_site_label
_atom_site_type_symbol
_atom_site_fract_x
_atom_site_fract_y
_atom_site_fract_z
Nd1 Nd 0.0000 0.2065 0.0000
Nd2 Nd 0.2500 0.2500 0.5000
Er1 Er 0.0000 0.0000 0.5000
Tl1 Tl 0.0759 0.5000 0.7663
```

## Properties
V: 32.51 A^3/atom

***

Which structure is the least stable? The one labeled ii.

***

i.
Computed, not measured: crystalline Nd3ErTl3 at its relaxed geometry at the GGA-PBE level of DFT.

The structure in CIF format:
```
data_Nd3ErTl3
_space_group_name_H-M_alt 'P 21 3'
_space_group_IT_number 198
_space_group_name_Hall 'P 2ac 2ab 3'
_cell_length_a 9.5408
_cell_length_b 9.5408
_cell_length_c 9.5408
_cell_angle_alpha 90.00
_cell_angle_beta 90.00
_cell_angle_gamma 90.00
loop_
_atom_site_label
_atom_site_type_symbol
_atom_site_fract_x
_atom_site_fract_y
_atom_site_fract_z
Nd1 Nd 0.0683 0.4317 0.5683
Nd2 Nd 0.1725 0.8275 0.3275
Nd3 Nd 0.1767 0.1767 0.1767
Er1 Er 0.0753 0.5753 0.9247
Tl1 Tl 0.0028 0.2565 0.8676
```

## Properties
V: 31.02 A^3/atom

***

ii.
Computed, not measured: crystalline Nd3ErTl3 at its relaxed geometry at the GGA-PBE level of DFT.

The structure in CIF format:
```
data_Nd3ErTl3
_space_group_name_H-M_alt 'C 1 2/m 1'
_space_group_IT_number 12
_cell_length_a 8.4342
_cell_length_b 10.8533
_cell_length_c 9.6996
_cell_angle_alpha 90.00
_cell_angle_beta 91.72
_cell_angle_gamma 90.00
loop_
_space_group_symop_operation_xyz
'x,y,z'
'-x,-y,-z'
'-x,y,-z'
'x,-y,z'
'x+1/2,y+1/2,z'
'-x+1/2,-y+1/2,-z'
'-x+1/2,y+1/2,-z'
'x+1/2,-y+1/2,z'
loop_
_atom_site_label
_atom_site_type_symbol
_atom_site_fract_x
_atom_site_fract_y
_atom_site_fract_z
Nd1 Nd 0.0000 0.1804 0.0000
Nd2 Nd 0.0000 0.2418 0.5000
Nd3 Nd 0.0917 0.5000 0.8159
Er1 Er 0.2231 0.5000 0.4556
Tl1 Tl 0.0327 0.0000 0.2706
Tl2 Tl 0.2342 0.2876 0.2370
```

## Properties
V: 31.70 A^3/atom

***

Which structure is the least stable? The one labeled ii.

***

i.
Computed, not measured: crystalline Nd5Er4Tl at its relaxed geometry at the GGA-PBE level of DFT.

The structure in CIF format:
```
data_Nd5Er4Tl
_space_group_name_H-M_alt 'P 4/m m m'
_space_group_IT_number 123
_space_group_name_Hall '-P 4 2'
_cell_length_a 4.1722
_cell_length_b 4.1722
_cell_length_c 18.5408
_cell_angle_alpha 90.00
_cell_angle_beta 90.00
_cell_angle_gamma 90.00
loop_
_atom_site_label
_atom_site_type_symbol
_atom_site_fract_x
_atom_site_fract_y
_atom_site_fract_z
Nd1 Nd 0.0000 0.0000 0.0000
Nd2 Nd 0.0000 0.0000 0.2045
Nd3 Nd 0.0000 0.0000 0.4083
Er1 Er 0.5000 0.5000 0.1024
Er2 Er 0.5000 0.5000 0.3042
Tl1 Tl 0.5000 0.5000 0.5000
```

## Properties
V: 32.27 A^3/atom

***

ii.
Computed, not measured: crystalline Nd5Er4Tl at its relaxed geometry at the GGA-PBE level of DFT.

The structure in CIF format:
```
data_Nd5Er4Tl
_space_group_name_H-M_alt 'I 4 m m'
_space_group_IT_number 107
_space_group_name_Hall 'I 4 -2'
_cell_length_a 10.6695
_cell_length_b 10.6695
_cell_length_c 5.9689
_cell_angle_alpha 90.00
_cell_angle_beta 90.00
_cell_angle_gamma 90.00
loop_
_atom_site_label
_atom_site_type_symbol
_atom_site_fract_x
_atom_site_fract_y
_atom_site_fract_z
Nd1 Nd 0.0000 0.0000 0.0000
Nd2 Nd 0.1881 0.1881 0.7158
Er1 Er 0.0000 0.3218 0.1999
Tl1 Tl 0.0000 0.0000 0.4787
```

## Properties
V: 33.97 A^3/atom

***

Which structure is the least stable? The one labeled ii.

***

i.
Computed, not measured: crystalline NdErTl at its relaxed geometry at the GGA-PBE level of DFT.

The structure in CIF format:
```
data_NdErTl
_space_group_name_H-M_alt 'I 4 m m'
_space_group_IT_number 107
_space_group_name_Hall 'I 4 -2'
_cell_length_a 3.6501
_cell_length_b 3.6501
_cell_length_c 13.6609
_cell_angle_alpha 90.00
_cell_angle_beta 90.00
_cell_angle_gamma 90.00
loop_
_atom_site_label
_atom_site_type_symbol
_atom_site_fract_x
_atom_site_fract_y
_atom_site_fract_z
Nd1 Nd 0.0000 0.0000 0.0000
Er1 Er 0.0000 0.0000 0.3120
Tl1 Tl 0.0000 0.0000 0.6644
```

## Properties
V: 30.33 A^3/atom

***

ii.
Computed, not measured: crystalline NdErTl at its relaxed geometry at the GGA-PBE level of DFT.

The structure in CIF format:
```
data_NdErTl
_space_group_name_H-M_alt 'P 3 m 1'
_space_group_IT_number 156
_cell_length_a 5.2937
_cell_length_b 5.2937
_cell_length_c 3.7837
_cell_angle_alpha 90.00
_cell_angle_beta 90.00
_cell_angle_gamma 120.00
loop_
_space_group_symop_operation_xyz
'x,y,z'
'-y,x-y,z'
'-x+y,-x,z'
'-y,-x,z'
'-x+y,y,z'
'x,x-y,z'
loop_
_atom_site_label
_atom_site_type_symbol
_atom_site_fract_x
_atom_site_fract_y
_atom_site_fract_z
Nd1 Nd 0.0000 0.0000 0.0000
Er1 Er 0.3333 0.6667 0.4776
Tl1 Tl 0.6667 0.3333 0.5634
```

## Properties
V: 30.61 A^3/atom

***

Which structure is the least stable? The one labeled ii.